# AcCd2Sn

An optimized crystal structure of AcCd2Sn (GGA-PBE, the Alexandria database).

Lattice parameters (Å, degrees): 5.0987 4.7895 4.7895 90.00 90.00 90.00
Last column: nearest neighbours and their distance in Å.
Fractional positions:
Cd  0.0000  0.0000  0.5000  4 Cd 3.39, 4 Ac 3.50, 4 Sn 3.50
Cd  0.0000  0.5000  0.0000  4 Cd 3.39, 4 Sn 3.50, 4 Ac 3.50
Sn  0.5000  0.0000  0.0000  4 Ac 3.39, 8 Cd 3.50
Ac  0.5000  0.5000  0.5000  4 Sn 3.39, 8 Cd 3.50

## Properties
Its total magnetization is 0.00 μB/cell. As for the energy relative to the elements: -0.3548 eV per atom. Its total energy is -2.840 eV/atom.